Record 1
{
  "formula": "DyThFe",
  "functional": "PBE",
  "state": "relaxed",
  "lattice": [[3.4192, 0.0000, 0.0000], [0.0000, 3.4192, 0.0000], [0.0000, 0.0000, 12.5012]],
  "species": ["Dy", "Dy", "Th", "Th", "Fe", "Fe"],
  "frac_coords": [[0.0000, 0.0000, 0.0000], [0.5000, 0.5000, 0.5000], [0.0000, 0.0000, 0.2652], [0.5000, 0.5000, 0.7652], [0.0000, 0.0000, 0.6418], [0.5000, 0.5000, 0.1418]],
  "rho_g_cm3": 10.23,
  "polymorph_energy_mev_per_atom": 0,
  "e_form_ev_per_atom": 0.079,
  "total_energy_ev_per_atom": -6.7489,
  "m_tot_mub_per_cell": 1.6
}

---

Record 2
{
  "formula": "K4OsSe",
  "functional": "PBE",
  "state": "relaxed",
  "lattice": [[0.0000, 4.6372, 4.6372], [4.6372, 0.0000, 4.6372], [4.6372, 4.6372, 0.0000]],
  "species": ["K", "K", "K", "K", "Os", "Se"],
  "frac_coords": [[0.3770, 0.3770, 0.3770], [0.3770, 0.3770, 0.8690], [0.3770, 0.8690, 0.3770], [0.8690, 0.3770, 0.3770], [0.0000, 0.0000, 0.0000], [0.7500, 0.7500, 0.7500]],
  "rho_g_cm3": 3.54,
  "raw_formation_energy_mev_per_atom": 945,
  "total_energy_ev_per_atom": -2.2394,
  "m_tot_mub_per_cell": 2.0
}

---

Record 3
{
  "formula": "CsNb6Cl15",
  "functional": "PBE",
  "state": "relaxed",
  "lattice": [[18.4371, 0.0000, 0.0000], [0.0000, 13.8571, 0.0000], [0.0000, 0.0000, 9.8398]],
  "species": ["Cs", "Cs", "Cs", "Cs", "Nb", "Nb", "Nb", "Nb", "Nb", "Nb", "Nb", "Nb", "Nb", "Nb", "Nb", "Nb", "Nb", "Nb", "Nb", "Nb", "Nb", "Nb", "Nb", "Nb", "Nb", "Nb", "Nb", "Nb", "Cl", "Cl", "Cl", "Cl", "Cl", "Cl", "Cl", "Cl", "Cl", "Cl", "Cl", "Cl", "Cl", "Cl", "Cl", "Cl", "Cl", "Cl", "Cl", "Cl", "Cl", "Cl", "Cl", "Cl", "Cl", "Cl", "Cl", "Cl", "Cl", "Cl", "Cl", "Cl", "Cl", "Cl", "Cl", "Cl", "Cl", "Cl", "Cl", "Cl", "Cl", "Cl", "Cl", "Cl", "Cl", "Cl", "Cl", "Cl", "Cl", "Cl", "Cl", "Cl", "Cl", "Cl", "Cl", "Cl", "Cl", "Cl", "Cl", "Cl"],
  "frac_coords": [[0.2500, 0.2468, 0.2096], [0.2500, 0.7532, 0.2096], [0.7500, 0.2468, 0.7904], [0.7500, 0.7532, 0.7904], [0.0316, 0.1069, 0.8623], [0.0316, 0.8931, 0.8623], [0.1028, 0.0000, 0.0829], [0.1699, 0.3931, 0.6974], [0.1699, 0.6069, 0.6974], [0.2500, 0.5000, 0.4874], [0.2500, 0.5000, 0.9061], [0.3301, 0.3931, 0.6974], [0.3301, 0.6069, 0.6974], [0.3972, 0.0000, 0.0829], [0.4684, 0.1069, 0.8623], [0.4684, 0.8931, 0.8623], [0.5316, 0.1069, 0.1377], [0.5316, 0.8931, 0.1377], [0.6028, 0.0000, 0.9171], [0.6699, 0.3931, 0.3026], [0.6699, 0.6069, 0.3026], [0.7500, 0.5000, 0.0939], [0.7500, 0.5000, 0.5126], [0.8301, 0.3931, 0.3026], [0.8301, 0.6069, 0.3026], [0.8972, 0.0000, 0.9171], [0.9684, 0.1069, 0.1377], [0.9684, 0.8931, 0.1377], [0.0000, 0.2489, 0.0000], [0.0000, 0.7511, 0.0000], [0.0624, 0.5000, 0.6990], [0.0698, 0.2503, 0.6907], [0.0698, 0.7497, 0.6907], [0.0744, 0.0000, 0.6773], [0.0851, 0.1230, 0.2636], [0.0851, 0.8770, 0.2636], [0.1534, 0.3783, 0.4480], [0.1534, 0.6217, 0.4480], [0.1554, 0.3777, 0.9468], [0.1554, 0.6223, 0.9468], [0.1587, 0.1225, 0.9357], [0.1587, 0.8775, 0.9357], [0.2500, 0.0000, 0.1870], [0.2500, 0.2509, 0.6890], [0.2500, 0.5000, 0.1986], [0.2500, 0.7491, 0.6890], [0.3413, 0.1225, 0.9357], [0.3413, 0.8775, 0.9357], [0.3446, 0.3777, 0.9468], [0.3446, 0.6223, 0.9468], [0.3466, 0.3783, 0.4480], [0.3466, 0.6217, 0.4480], [0.4149, 0.1230, 0.2636], [0.4149, 0.8770, 0.2636], [0.4256, 0.0000, 0.6773], [0.4302, 0.2503, 0.6907], [0.4302, 0.7497, 0.6907], [0.4376, 0.5000, 0.6990], [0.5000, 0.2489, 0.0000], [0.5000, 0.7511, 0.0000], [0.5624, 0.5000, 0.3010], [0.5698, 0.2503, 0.3093], [0.5698, 0.7497, 0.3093], [0.5744, 0.0000, 0.3227], [0.5851, 0.1230, 0.7364], [0.5851, 0.8770, 0.7364], [0.6534, 0.3783, 0.5520], [0.6534, 0.6217, 0.5520], [0.6554, 0.3777, 0.0532], [0.6554, 0.6223, 0.0532], [0.6587, 0.1225, 0.0643], [0.6587, 0.8775, 0.0643], [0.7500, 0.0000, 0.8130], [0.7500, 0.2509, 0.3110], [0.7500, 0.5000, 0.8014], [0.7500, 0.7491, 0.3110], [0.8413, 0.1225, 0.0643], [0.8413, 0.8775, 0.0643], [0.8446, 0.3777, 0.0532], [0.8446, 0.6223, 0.0532], [0.8466, 0.3783, 0.5520], [0.8466, 0.6217, 0.5520], [0.9149, 0.1230, 0.7364], [0.9149, 0.8770, 0.7364], [0.9256, 0.0000, 0.3227], [0.9302, 0.2503, 0.3093], [0.9302, 0.7497, 0.3093], [0.9376, 0.5000, 0.3010]],
  "rho_g_cm3": 3.23,
  "raw_formation_energy_mev_per_atom": -1347,
  "total_energy_ev_per_atom": -5.3911,
  "m_tot_mub_per_cell": 0.0
}

---

Record 4
{
  "formula": "SrMg2Co",
  "functional": "PBE",
  "state": "relaxed",
  "lattice": [[4.1576, 0.0000, 0.0000], [0.0000, 5.1574, 0.0000], [0.0000, 0.0000, 9.1285]],
  "species": ["Sr", "Sr", "Mg", "Mg", "Mg", "Mg", "Co", "Co"],
  "frac_coords": [[0.0000, 0.0000, 0.0000], [0.5000, 0.5000, 0.5000], [0.0000, 0.0000, 0.4334], [0.0000, 0.5000, 0.2161], [0.5000, 0.0000, 0.7161], [0.5000, 0.5000, 0.9334], [0.0000, 0.5000, 0.7586], [0.5000, 0.0000, 0.2586]],
  "rho_g_cm3": 3.31,
  "e_form_ev_per_atom": 0.375,
  "total_energy_ev_per_atom": -2.6190,
  "m_tot_mub_per_cell": 2.4
}

---

Record 5
{
  "formula": "LiMg2TiN",
  "functional": "PBE",
  "state": "relaxed",
  "lattice": [[4.4370, 0.0000, 0.0000], [0.0000, 4.4370, 0.0000], [0.0000, 0.0000, 4.5460]],
  "species": ["Li", "Mg", "Mg", "Ti", "N"],
  "frac_coords": [[0.0000, 0.0000, 0.0000], [0.0000, 0.5000, 0.0000], [0.5000, 0.0000, 0.0000], [0.0000, 0.0000, 0.5000], [0.5000, 0.5000, 0.5000]],
  "rho_g_cm3": 2.18,
  "raw_formation_energy_mev_per_atom": 1433,
  "total_energy_ev_per_atom": -2.8318,
  "m_tot_mub_per_cell": 0.0
}

---

Record 6
{
  "formula": "Pu2PaIn",
  "functional": "PBE",
  "state": "relaxed",
  "lattice": [[4.0576, 0.0000, 0.0000], [-2.0288, 3.5140, 0.0000], [0.0000, 0.0000, 21.7126]],
  "species": ["Pu", "Pu", "Pu", "Pu", "Pu", "Pu", "Pa", "Pa", "Pa", "In", "In", "In"],
  "frac_coords": [[0.0000, 0.0000, 0.0000], [0.0000, 0.0000, 0.2001], [0.3333, 0.6667, 0.6667], [0.3333, 0.6667, 0.8667], [0.6667, 0.3333, 0.3333], [0.6667, 0.3333, 0.5334], [0.0000, 0.0000, 0.5949], [0.3333, 0.6667, 0.2616], [0.6667, 0.3333, 0.9282], [0.0000, 0.0000, 0.4329], [0.3333, 0.6667, 0.0996], [0.6667, 0.3333, 0.7662]],
  "rho_g_cm3": 13.42,
  "polymorph_energy_mev_per_atom": 367,
  "e_form_ev_per_atom": 0.376,
  "total_energy_ev_per_atom": -9.8482,
  "m_tot_mub_per_cell": 1.8
}

---

Record 7
{
  "formula": "CsZnCdAg2",
  "functional": "PBE",
  "state": "relaxed",
  "lattice": [[5.3153, 0.0000, 0.0000], [0.0000, 5.3153, 0.0000], [0.0000, 0.0000, 5.2550]],
  "species": ["Cs", "Zn", "Cd", "Ag", "Ag"],
  "frac_coords": [[0.0000, 0.0000, 0.0000], [0.5000, 0.5000, 0.5000], [0.5000, 0.5000, 0.0000], [0.0000, 0.5000, 0.5000], [0.5000, 0.0000, 0.5000]],
  "rho_g_cm3": 5.89,
  "e_form_ev_per_atom": 0.140,
  "total_energy_ev_per_atom": -1.6088,
  "m_tot_mub_per_cell": 0.0
}

---

Record 8
{
  "formula": "YGeTe3",
  "functional": "PBE",
  "state": "relaxed",
  "lattice": [[5.3784, 0.0000, 0.0000], [0.0000, 5.3784, 0.0000], [0.0000, 0.0000, 5.3784]],
  "species": ["Y", "Ge", "Te", "Te", "Te"],
  "frac_coords": [[0.0000, 0.0000, 0.0000], [0.5000, 0.5000, 0.5000], [0.0000, 0.5000, 0.5000], [0.5000, 0.0000, 0.5000], [0.5000, 0.5000, 0.0000]],
  "rho_g_cm3": 5.81,
  "raw_formation_energy_mev_per_atom": -128,
  "polymorph_energy_mev_per_atom": 507,
  "total_energy_ev_per_atom": -4.2294,
  "m_tot_mub_per_cell": 0.0
}

---

Record 9
{
  "formula": "FeCoRh",
  "functional": "PBE",
  "state": "relaxed",
  "lattice": [[3.6127, 0.0000, 0.0000], [0.0000, 11.2637, 0.0000], [0.0000, 0.0000, 3.7105]],
  "species": ["Fe", "Fe", "Fe", "Fe", "Co", "Co", "Co", "Co", "Rh", "Rh", "Rh", "Rh"],
  "frac_coords": [[0.0000, 0.0924, 0.2500], [0.0000, 0.9076, 0.7500], [0.5000, 0.4076, 0.7500], [0.5000, 0.5924, 0.2500], [0.0000, 0.2495, 0.7500], [0.0000, 0.7505, 0.2500], [0.5000, 0.2505, 0.2500], [0.5000, 0.7495, 0.7500], [0.0000, 0.4120, 0.2500], [0.0000, 0.5880, 0.7500], [0.5000, 0.0880, 0.7500], [0.5000, 0.9120, 0.2500]],
  "rho_g_cm3": 9.58,
  "polymorph_energy_mev_per_atom": 9,
  "e_form_ev_per_atom": 0.015,
  "total_energy_ev_per_atom": -7.6249,
  "m_tot_mub_per_cell": 20.4
}

---

Record 10
{
  "formula": "Sr2Zn2Ag",
  "functional": "PBE",
  "state": "relaxed",
  "lattice": [[5.8134, -2.3372, 0.0000], [5.8134, 2.3372, 0.0000], [-5.6155, 0.0000, 10.5026]],
  "species": ["Sr", "Sr", "Sr", "Sr", "Zn", "Zn", "Zn", "Zn", "Ag", "Ag"],
  "frac_coords": [[0.0928, 0.0928, 0.3910], [0.3044, 0.3044, 0.8486], [0.6956, 0.6956, 0.1514], [0.9072, 0.9072, 0.6090], [0.0514, 0.0514, 0.9229], [0.3863, 0.3863, 0.3890], [0.6137, 0.6137, 0.6110], [0.9486, 0.9486, 0.0771], [0.4120, 0.4120, 0.1715], [0.5880, 0.5880, 0.8285]],
  "rho_g_cm3": 4.82,
  "polymorph_energy_mev_per_atom": 0,
  "e_form_ev_per_atom": -0.246,
  "total_energy_ev_per_atom": -1.9985,
  "m_tot_mub_per_cell": 0.0
}

---

Record 11
{
  "formula": "ZnCrB2P",
  "functional": "PBE",
  "state": "relaxed",
  "lattice": [[3.7585, 0.0000, 0.0000], [0.0000, 3.7585, 0.0000], [0.0000, 0.0000, 4.6249]],
  "species": ["Zn", "Cr", "B", "B", "P"],
  "frac_coords": [[0.0000, 0.0000, 0.0000], [0.5000, 0.5000, 0.0000], [0.0000, 0.5000, 0.5000], [0.5000, 0.0000, 0.5000], [0.0000, 0.0000, 0.5000]],
  "rho_g_cm3": 4.32,
  "e_form_ev_per_atom": 1.606,
  "total_energy_ev_per_atom": -4.3263,
  "m_tot_mub_per_cell": 0.1
}

---

Record 12
{
  "formula": "KTi2GePt",
  "functional": "PBE",
  "state": "relaxed",
  "lattice": [[4.4056, 0.0000, 0.0000], [0.0000, 4.4056, 0.0000], [0.0000, 0.0000, 5.0332]],
  "species": ["K", "Ti", "Ti", "Ge", "Pt"],
  "frac_coords": [[0.0000, 0.0000, 0.0000], [0.0000, 0.5000, 0.0000], [0.5000, 0.0000, 0.0000], [0.0000, 0.0000, 0.5000], [0.5000, 0.5000, 0.5000]],
  "rho_g_cm3": 6.84,
  "e_form_ev_per_atom": 1.878,
  "total_energy_ev_per_atom": -3.6311,
  "m_tot_mub_per_cell": 0.0
}

---

Record 13
{
  "formula": "TaTiBeB",
  "functional": "PBE",
  "state": "relaxed",
  "lattice": [[3.2142, 0.0000, 0.0000], [0.0000, 3.3299, 0.0000], [0.0000, 0.0000, 8.9261]],
  "species": ["Ta", "Ta", "Ti", "Ti", "Be", "Be", "B", "B"],
  "frac_coords": [[0.0000, 0.0000, 0.0000], [0.0000, 0.5000, 0.5000], [0.5000, 0.0000, 0.7083], [0.5000, 0.5000, 0.2083], [0.0000, 0.0000, 0.2941], [0.0000, 0.5000, 0.7941], [0.5000, 0.0000, 0.4237], [0.5000, 0.5000, 0.9237]],
  "rho_g_cm3": 8.64,
  "e_form_ev_per_atom": -0.511,
  "total_energy_ev_per_atom": -8.0491,
  "m_tot_mub_per_cell": 0.0
}

---

Record 14
{
  "formula": "MnCo",
  "functional": "PBE",
  "state": "relaxed",
  "lattice": [[6.7120, 0.0000, 0.0000], [0.0000, 6.7120, 0.0000], [0.0000, 0.0000, 6.7120]],
  "species": ["Mn", "Mn", "Mn", "Mn", "Mn", "Mn", "Mn", "Mn", "Co", "Co", "Co", "Co", "Co", "Co", "Co", "Co"],
  "frac_coords": [[0.1432, 0.1432, 0.1432], [0.1432, 0.8568, 0.8568], [0.3568, 0.3568, 0.6432], [0.3568, 0.6432, 0.3568], [0.6432, 0.3568, 0.3568], [0.6432, 0.6432, 0.6432], [0.8568, 0.1432, 0.8568], [0.8568, 0.8568, 0.1432], [0.1787, 0.1787, 0.8213], [0.1787, 0.8213, 0.1787], [0.3213, 0.3213, 0.3213], [0.3213, 0.6787, 0.6787], [0.6787, 0.3213, 0.6787], [0.6787, 0.6787, 0.3213], [0.8213, 0.1787, 0.1787], [0.8213, 0.8213, 0.8213]],
  "rho_g_cm3": 5.00,
  "e_form_ev_per_atom": 1.552,
  "total_energy_ev_per_atom": -6.5856,
  "m_tot_mub_per_cell": 0.2
}